Record 1
Below is an optimized crystal structure of SrMg2Hg6, with properties calculated at the PBE-GGA level.

Geometry as POSCAR:
```
SrMg2Hg6
1.0
-5.536 -1.311 3.183
5.679 0.005 3.202
-0.838 7.115 1.474
Hg Mg Sr
6 2 1
Direct
0.500 0.500 0.802
0.000 0.500 0.802
0.500 0.500 0.198
0.500 0.000 0.802
0.000 0.500 0.198
0.500 0.000 0.198
0.667 0.333 0.500
0.333 0.667 0.500
0.000 0.000 0.000
```

Properties
For the raw total energy, the calculation gives -0.90 eV per atom.

---

Record 2
Below is an optimized crystal structure of SrMg2Hg8, with properties calculated at the PBE-GGA level.

Geometry as POSCAR:
```
SrMg2Hg8
1.0
5.544 0.017 -0.545
-0.219 6.017 -2.037
-0.063 -0.441 8.621
Hg Sr Mg
8 1 2
Direct
0.887 0.787 0.575
0.467 0.654 0.808
0.016 0.595 0.190
0.533 0.846 0.192
0.984 0.405 0.810
0.533 0.346 0.192
0.467 0.154 0.808
0.113 0.213 0.425
0.000 0.000 0.000
0.631 0.256 0.513
0.369 0.744 0.487
```

Properties
The value obtained for the energy above the most stable polymorph in this dataset is 0.00 eV/f.u. For the raw total energy, the calculation gives -0.87 eV per atom.

---

Record 3
Below is an optimized crystal structure of SrMg3Hg2, with properties calculated at the PBE-GGA level.

Geometry as POSCAR:
```
SrMg3Hg2
1.0
-2.040 -1.814 3.599
3.594 -7.800 -4.729
8.490 3.764 6.710
Mg Hg Sr
9 6 3
Direct
0.787 0.574 0.602
0.321 0.642 0.025
0.954 0.909 0.657
0.375 0.750 0.787
0.046 0.091 0.343
0.679 0.358 0.975
0.500 0.000 0.500
0.213 0.426 0.398
0.625 0.250 0.213
0.640 0.279 0.473
0.360 0.721 0.527
0.537 0.075 0.791
0.463 0.925 0.209
0.202 0.404 0.141
0.798 0.596 0.859
0.844 0.688 0.294
0.156 0.312 0.706
0.000 0.000 0.000
```

Properties
The value obtained for the energy above the most stable polymorph in this dataset is 0.00 eV/f.u. For the raw total energy, the calculation gives -1.49 eV per atom.

---

Record 4
Below is an optimized crystal structure of Sr3Mg3Hg8, with properties calculated at the PBE-GGA level.

Geometry as POSCAR:
```
Sr3Mg3Hg8
1.0
-0.369 -0.088 4.941
-3.515 -8.408 2.072
6.442 -6.138 2.857
Sr Hg Mg
3 8 3
Direct
0.500 0.500 0.500
0.211 0.789 0.789
0.789 0.211 0.211
0.841 0.803 0.515
0.159 0.197 0.485
0.370 0.333 0.926
0.630 0.074 0.667
0.841 0.515 0.803
0.370 0.926 0.333
0.159 0.485 0.197
0.630 0.667 0.074
0.500 0.000 0.000
0.000 0.186 0.814
0.000 0.814 0.186
```

Properties
For the raw total energy, the calculation gives -1.25 eV per atom.

---

Record 5
Below is an optimized crystal structure of Sr3Mg7Hg4, with properties calculated at the PBE-GGA level.

Geometry as POSCAR:
```
Sr3Mg7Hg4
1.0
4.550 0.000 1.148
1.624 8.584 3.155
-0.043 0.141 9.763
Mg Hg Sr
7 4 3
Direct
0.000 0.000 0.000
0.321 0.840 0.517
0.158 0.609 0.074
0.679 0.160 0.483
0.493 0.216 0.799
0.842 0.391 0.926
0.507 0.784 0.201
0.117 0.097 0.670
0.661 0.450 0.229
0.883 0.903 0.330
0.339 0.550 0.771
0.307 0.188 0.198
0.693 0.812 0.802
0.000 0.500 0.500
```

Properties
For the raw total energy, the calculation gives -1.55 eV per atom.

---

Record 6
Below is an optimized crystal structure of SrMg6Hg2, with properties calculated at the PBE-GGA level.

Geometry as POSCAR:
```
SrMg6Hg2
1.0
-2.790 3.292 -1.291
-3.497 -2.813 0.384
-1.306 3.082 10.685
Mg Hg Sr
6 2 1
Direct
0.000 0.000 0.500
0.500 0.000 0.704
0.000 0.500 0.296
0.000 0.500 0.704
0.500 0.500 0.500
0.500 0.000 0.296
0.500 0.500 0.132
0.500 0.500 0.868
0.000 0.000 0.000
```

Properties
For the raw total energy, the calculation gives -1.53 eV per atom.

---

Record 7
Below is an optimized crystal structure of Sr2MgHg, with properties calculated at the PBE-GGA level.

Geometry as POSCAR:
```
Sr2MgHg
1.0
9.900 -0.083 -0.049
8.970 4.189 -0.049
8.970 1.952 3.707
Mg Sr Hg
1 2 1
Direct
0.750 0.750 0.750
0.992 0.992 0.992
0.508 0.508 0.508
0.250 0.250 0.250
```

Properties
The value obtained for the energy above the most stable polymorph in this dataset is 0.65 eV/f.u. For the raw total energy, the calculation gives -1.45 eV per atom.

---

Record 8
Below is an optimized crystal structure of Sr2MgHg, with properties calculated at the PBE-GGA level.

Geometry as POSCAR:
```
Sr2MgHg
1.0
-3.634 0.012 1.670
0.180 -3.974 0.419
3.691 1.014 8.027
Hg Sr Mg
1 2 1
Direct
0.000 0.000 0.543
0.500 0.500 0.316
0.000 0.000 0.944
0.500 0.500 0.697
```

Properties
The value obtained for the energy above the most stable polymorph in this dataset is 0.33 eV/f.u. For the raw total energy, the calculation gives -1.53 eV per atom.

---

Record 9
Below is an optimized crystal structure of Sr2MgHg2, with properties calculated at the PBE-GGA level.

Geometry as POSCAR:
```
Sr2MgHg2
1.0
-3.190 -2.298 -8.473
-4.508 -7.307 3.679
-3.131 2.222 0.576
Mg Hg Sr
2 4 4
Direct
0.500 0.500 0.000
0.000 0.000 0.000
0.646 0.854 0.500
0.854 0.354 0.500
0.146 0.646 0.500
0.354 0.146 0.500
0.350 0.850 0.000
0.150 0.350 0.000
0.650 0.150 0.000
0.850 0.650 0.000
```

Properties
The value obtained for the energy above the most stable polymorph in this dataset is 1.02 eV/f.u. For the raw total energy, the calculation gives -1.33 eV per atom.

---

Record 10
Below is an optimized crystal structure of SrMg3Hg, with properties calculated at the PBE-GGA level.

Geometry as POSCAR:
```
SrMg3Hg
1.0
6.876 0.000 0.000
0.000 6.876 0.000
0.000 0.000 6.876
Mg Sr Hg
3 1 1
Direct
0.500 0.000 0.000
0.000 0.500 0.000
0.000 0.000 0.500
0.000 0.000 0.000
0.500 0.500 0.500
```

Properties
The value obtained for the energy above the most stable polymorph in this dataset is 5.06 eV/f.u. For the raw total energy, the calculation gives -0.54 eV per atom.

---

Record 11
Below is an optimized crystal structure of Sr4Mg3Hg2, with properties calculated at the PBE-GGA level.

Geometry as POSCAR:
```
Sr4Mg3Hg2
1.0
4.389 0.000 -1.210
-0.661 7.706 -2.399
0.169 0.039 9.177
Hg Sr Mg
2 4 3
Direct
0.394 0.539 0.788
0.606 0.461 0.212
0.423 0.141 0.845
0.236 0.703 0.472
0.577 0.859 0.155
0.764 0.297 0.528
0.000 0.500 0.000
0.089 0.211 0.179
0.911 0.789 0.821
```

Properties
For the raw total energy, the calculation gives -1.59 eV per atom.

---

Record 12
Below is an optimized crystal structure of Sr12MgHg5, with properties calculated at the PBE-GGA level.

Geometry as POSCAR:
```
Sr12MgHg5
1.0
9.127 -0.121 -3.836
-4.668 8.325 -2.636
-0.335 0.121 9.895
Sr Hg Mg
12 5 1
Direct
0.696 0.663 0.359
0.461 0.178 0.283
0.189 0.953 0.764
0.304 0.337 0.641
0.696 0.337 0.033
0.105 0.822 0.283
0.189 0.424 0.236
0.811 0.047 0.236
0.539 0.822 0.717
0.895 0.178 0.717
0.811 0.576 0.764
0.304 0.663 0.967
0.338 0.338 0.000
0.500 0.131 0.631
0.000 0.000 0.000
0.662 0.662 0.000
0.500 0.869 0.369
0.000 0.500 0.500
```

Properties
For the raw total energy, the calculation gives -1.59 eV per atom.

---

no.,ΔE_f (eV/atom)
1,-0.155
2,-0.205
3,-0.314
4,-0.378
5,-0.304
6,-0.209
7,-0.136
8,-0.217
9,-0.218
10,0.814
11,-0.241
12,-0.296